DFT (PBE) results for a relaxed structure of Ca2Tc12P7.

Values from the calculation:
Formation energy from the elements, eV/atom: -0.51
M_tot, μB per formula unit: 0.00
Symmetry: P-6
DOS at the Fermi energy, states/eV/f.u.: 11.81

Unit cell a=3.9554 b=9.5784 c=9.5784 alpha=120.00 beta=90.00 gamma=90.00
With the nearest neighbours (Å) after each atom.
Fractional positions:
1 P 0.0000 0.0665 0.8013  7 Tc 2.37-2.62
2 P 0.0000 0.3333 0.6667  3 Tc 2.26
3 P 0.5000 0.6023 0.5357  7 Tc 2.41-2.54
4 P 0.5000 0.9334 0.3977  7 Tc 2.41-2.54
5 P 0.5000 0.4643 0.0666  7 Tc 2.41-2.54
6 P 0.0000 0.7349 0.9335  7 Tc 2.37-2.62
7 P 0.0000 0.1987 0.2651  7 Tc 2.37-2.62
8 Tc 0.0000 0.2978 0.0651  4 P 2.39-2.54, 3 Tc 2.59-2.67
9 Tc 0.5000 0.3617 0.2624  4 P 2.48-2.53, 2 Tc 2.59
10 Tc 0.5000 0.5494 0.7602  5 P 2.44-2.67
11 Tc 0.0000 0.9349 0.2327  4 P 2.39-2.54, 3 Tc 2.59-2.67
12 Tc 0.0000 0.4899 0.9380  4 P 2.26-2.41
13 Tc 0.5000 0.2398 0.7892  5 P 2.44-2.67
14 Tc 0.5000 0.7376 0.0993  4 P 2.48-2.53, 2 Tc 2.59
15 Tc 0.0000 0.4480 0.5101  4 P 2.26-2.41
16 Tc 0.0000 0.7673 0.7022  4 P 2.39-2.54, 3 Tc 2.59-2.67
17 Tc 0.0000 0.0620 0.5520  4 P 2.26-2.41
18 Tc 0.5000 0.2108 0.4506  5 P 2.44-2.67
19 Tc 0.5000 0.9007 0.6383  4 P 2.48-2.53, 2 Tc 2.59
20 Ca 0.0000 0.6667 0.3333  6 P 3.04, 12 Tc 3.16-3.30
21 Ca 0.5000 0.0000 0.0000  6 P 3.02, 9 Tc 3.10-3.26

***

DFT (PBE) results for a relaxed structure of HfTh2Si2.

Values from the calculation:
M_tot, μB per formula unit: 0.00
ΔE_f (raw), meV per atom: -641
Symmetry: P4/mbm
DOS at the Fermi energy, states/eV/f.u.: 4.91

Unit cell a=4.3811 b=7.3035 c=7.3035 alpha=90.00 beta=90.00 gamma=90.00
With the nearest neighbours (Å) after each atom.
Fractional positions:
1 Th 0.5000 0.6809 0.8191  6 Si 3.00-3.14
2 Th 0.5000 0.1809 0.6809  6 Si 3.00-3.14
3 Th 0.5000 0.8191 0.3191  6 Si 3.00-3.14
4 Th 0.5000 0.3191 0.1809  6 Si 3.00-3.14
5 Si 0.0000 0.6212 0.1212  1 Si 2.50
6 Si 0.0000 0.1212 0.3788  1 Si 2.50
7 Si 0.0000 0.8788 0.6212  1 Si 2.50
8 Si 0.0000 0.3788 0.8788  1 Si 2.50
9 Hf 0.0000 0.0000 0.0000  4 Si 2.90
10 Hf 0.0000 0.5000 0.5000  4 Si 2.90

***

DFT (PBE) results for a relaxed structure of NiBPt.

Values from the calculation:
Formation energy from the elements, eV/atom: -0.12
M_tot, μB per formula unit: 0.00
Symmetry: P3m1
DOS at the Fermi energy, states/eV/f.u.: 1.46

Unit cell a=4.0778 b=3.1615 c=3.1615 alpha=120.00 beta=90.00 gamma=90.00
With the nearest neighbours (Å) after each atom.
Fractional positions:
1 B 0.3469 0.6667 0.3333  3 Ni 2.04, 3 Pt 2.12
2 Ni 0.5720 0.3333 0.6667  3 B 2.04
3 Pt 0.0811 0.0000 0.0000  3 B 2.12

***

DFT (PBE) results for a relaxed structure of CaPaIn4.

Values from the calculation:
Formation energy from the elements, eV/atom: -0.03
M_tot, μB per formula unit: 1.68
Symmetry: F-43m
DOS at the Fermi energy, states/eV/f.u.: 9.44

Unit cell a=6.0606 b=6.0606 c=6.0606 alpha=60.00 beta=60.00 gamma=60.00
With the nearest neighbours (Å) after each atom.
Fractional positions:
1 In 0.1238 0.6254 0.6254  6 In 3.02-3.04
2 In 0.6254 0.6254 0.6254  6 In 3.02-3.04
3 In 0.6254 0.1238 0.6254  6 In 3.02-3.04
4 In 0.6254 0.6254 0.1238  6 In 3.02-3.04
5 Pa 0.0000 0.0000 0.0000  12 In 3.55, 4 Ca 3.71
6 Ca 0.2500 0.2500 0.2500  12 In 3.55, 4 Pa 3.71

***

DFT (PBE) results for a relaxed structure of Ta13Ti3.

Values from the calculation:
Formation energy from the elements, eV/atom: 0.03
M_tot, μB per formula unit: 0.00
Symmetry: Amm2
DOS at the Fermi energy, states/eV/f.u.: 26.71

Unit cell a=6.6096 b=6.6096 c=6.6165 alpha=90.00 beta=90.00 gamma=89.98
With the nearest neighbours (Å) after each atom.
Fractional positions:
1 Ta 0.4997 0.9998 0.7506  7 Ta 2.85-2.87, 1 Ti 2.86
2 Ta 0.2522 0.2500 0.0000  6 Ta 2.85-2.87, 2 Ti 2.91
3 Ta 0.4999 0.5001 0.2491  1 Ti 2.83, 7 Ta 2.85-2.87
4 Ta 0.0002 0.5003 0.2494  7 Ta 2.85-2.87, 1 Ti 2.86
5 Ta 0.7490 0.2510 0.5000  2 Ti 2.85, 6 Ta 2.86-2.87
6 Ta 0.7500 0.7478 0.0000  6 Ta 2.85-2.87, 2 Ti 2.91
7 Ta 0.0002 0.5003 0.7506  7 Ta 2.85-2.87, 1 Ti 2.86
8 Ta 0.4997 0.9998 0.2494  7 Ta 2.85-2.87, 1 Ti 2.86
9 Ta 0.2504 0.2505 0.5000  2 Ti 2.83, 6 Ta 2.86
10 Ta 0.2508 0.7492 0.5000  2 Ti 2.82, 6 Ta 2.86
11 Ta 0.4999 0.5001 0.7509  1 Ti 2.83, 7 Ta 2.85-2.87
12 Ta 0.2488 0.7512 0.0000  6 Ta 2.86-2.87, 2 Ti 2.88
13 Ta 0.7495 0.7496 0.5000  2 Ti 2.83, 6 Ta 2.86
14 Ti 0.0017 0.9983 0.2587  7 Ta 2.82-2.91, 1 Ti 2.94
15 Ti 0.0017 0.9983 0.7413  7 Ta 2.82-2.91, 1 Ti 2.94
16 Ti 0.7463 0.2537 0.0000  6 Ta 2.83-2.86, 2 Ti 2.94

***

DFT (PBE) results for a relaxed structure of Pr3Sm2HoEr6.

Values from the calculation:
Formation energy from the elements, eV/atom: 0.02
M_tot, μB per formula unit: 0.00
Symmetry: C2/m
DOS at the Fermi energy, states/eV/f.u.: 13.88

Unit cell a=6.2145 b=6.2145 c=11.7688 alpha=95.03 beta=95.03 gamma=119.98
With the nearest neighbours (Å) after each atom.
Fractional positions:
1 Pr 0.8333 0.1667 0.5000  6 Er 3.59, 6 Pr 3.59
2 Pr 0.1667 0.8333 0.5000  6 Er 3.59, 6 Pr 3.59
3 Pr 0.5000 0.5000 0.5000  6 Pr 3.59, 6 Er 3.59
4 Sm 0.6665 0.3335 0.0000  6 Er 3.53-3.54, 3 Sm 3.58-3.59, 3 Ho 3.59
5 Sm 0.3335 0.6665 0.0000  6 Er 3.53-3.54, 3 Sm 3.58-3.59, 3 Ho 3.59
6 Er 0.0826 0.4156 0.2471  2 Sm 3.53-3.54, 1 Ho 3.53, 6 Er 3.58-3.59, 3 Pr 3.59
7 Er 0.9174 0.5844 0.7529  2 Sm 3.53-3.54, 1 Ho 3.53, 6 Er 3.58-3.59, 3 Pr 3.59
8 Er 0.7496 0.7496 0.2472  1 Ho 3.53, 2 Sm 3.54, 6 Er 3.58-3.59, 3 Pr 3.59
9 Er 0.5844 0.9174 0.7529  2 Sm 3.53-3.54, 1 Ho 3.53, 6 Er 3.58-3.59, 3 Pr 3.59
10 Er 0.4156 0.0826 0.2471  2 Sm 3.53-3.54, 1 Ho 3.53, 6 Er 3.58-3.59, 3 Pr 3.59
11 Er 0.2504 0.2504 0.7528  1 Ho 3.53, 2 Sm 3.54, 6 Er 3.58-3.59, 3 Pr 3.59
12 Ho 0.0000 0.0000 0.0000  6 Er 3.53, 6 Sm 3.59

***

What is the M_tot in the second record?
0.00 μB per formula unit